Entry P
A relaxed structure of AlCd2P, computed with PBEsol.

Lattice parameters (Å, degrees): 3.549 5.094 5.296 118.75 109.58 90.00
Fractional positions:
Cd 0.986 0.986 0.973
P 0.528 0.528 0.057
Al 0.216 0.716 0.432
Cd 0.769 0.269 0.538

density of states at the Fermi level = 0.406 states/eV per atom
crystal system = orthorhombic
SG = Imm2 (44)

Entry Q
A relaxed structure of AlCd2P, computed with PBEsol.

Lattice parameters (Å, degrees): 3.836 3.836 5.725 105.37 105.37 91.51
Fractional positions:
Cd 0.000 0.000 0.500
Cd 0.500 0.500 0.500
P 0.000 0.000 0.000
Al 0.500 0.500 0.000

density of states at the Fermi level = 0.357 states/eV per atom
crystal system = monoclinic
SG = C2/m (12)

Stability, descending: entry Q, entry P

Entry P
A relaxed structure of MgAlAg2, computed with PBEsol.

Lattice parameters (Å, degrees): 3.190 3.190 6.577 90.00 90.00 90.00
Fractional positions:
Mg 0.500 0.500 0.000
Al 0.500 0.500 0.500
Ag 0.000 0.000 0.267
Ag 0.000 0.000 0.733

density of states at the Fermi level = 0.260 states/eV per atom
crystal system = tetragonal
SG = P4/mmm (123)

Entry Q
A relaxed structure of MgAlAg2, computed with PBEsol.

Lattice parameters (Å, degrees): 2.862 5.210 5.210 113.12 100.04 100.04
Fractional positions:
Ag 0.000 0.000 0.500
Al 0.500 0.000 0.000
Ag 0.000 0.500 0.000
Mg 0.500 0.500 0.500

density of states at the Fermi level = 0.252 states/eV per atom
crystal system = monoclinic
SG = C2/m (12)

Stability, descending: entry P, entry Q

Entry P
A relaxed structure of TaFeAg2, computed with PBEsol.

Lattice parameters (Å, degrees): 2.745 2.745 8.230 90.00 90.00 90.07
Fractional positions:
Fe 0.500 0.500 0.500
Ta 0.500 0.500 0.000
Ag 0.000 0.000 0.268
Ag 0.000 0.000 0.732

density of states at the Fermi level = 0.847 states/eV per atom
crystal system = tetragonal
SG = P4/mmm (123)

Entry Q
A relaxed structure of TaFeAg2, computed with PBEsol.

Lattice parameters (Å, degrees): 2.738 4.846 4.846 90.00 90.00 90.00
Fractional positions:
Fe 0.500 0.500 0.500
Ta 0.500 0.000 0.000
Ag 0.000 0.500 0.000
Ag 0.000 0.000 0.500

density of states at the Fermi level = 1.056 states/eV per atom
crystal system = tetragonal
SG = P4/mmm (123)

Stability, descending: entry P, entry Q

Entry P
A relaxed structure of IrC3, computed with PBEsol.

Lattice parameters (Å, degrees): 2.922 3.870 3.904 119.72 111.98 90.00
Fractional positions:
Ir 0.000 0.227 0.000
C 0.329 0.391 0.659
C 0.671 0.732 0.341
C 0.500 0.817 0.000

density of states at the Fermi level = 0.465 states/eV per atom
crystal system = orthorhombic
SG = Imm2 (44)

Entry Q
A relaxed structure of IrC3, computed with PBEsol.

Lattice parameters (Å, degrees): 2.592 2.592 5.693 90.00 90.00 120.00
Fractional positions:
Ir 0.333 0.667 0.500
C 0.000 0.000 0.828
C 0.333 0.667 0.000
C 0.000 0.000 0.172

density of states at the Fermi level = 0.553 states/eV per atom
crystal system = hexagonal
SG = P-6m2 (187)

Stability, descending: entry P, entry Q